(A)
Compound: SiTcSe3
Source: the Alexandria database
Functional: PBE
Structure: optimized geometry

Summary:
- space-group type = Pm-3m, No. 221
- total magnetic moment (μB/atom) = 0.000
- crystal system = cubic
- theoretical density (g cm⁻³) = 5.917

Cell: 4.6703 4.6703 4.6703 Å, 90.00 90.00 90.00°
Last column: nearest neighbours and their distance in Å.
Sites, in units of the cell vectors:
1 Tc 0.5000 0.5000 0.5000  12 Se 3.30
2 Se 0.0000 0.5000 0.0000  2 Si 2.34
3 Se 0.0000 0.0000 0.5000  2 Si 2.34
4 Se 0.5000 0.0000 0.0000  2 Si 2.34
5 Si 0.0000 0.0000 0.0000  6 Se 2.34



(B)
Compound: SiTcSe3
Source: the Alexandria database
Functional: PBE
Structure: optimized geometry

Summary:
- space-group type = Pm-3m, No. 221
- total magnetic moment (μB/atom) = 0.133
- crystal system = cubic
- theoretical density (g cm⁻³) = 5.183

Cell: 4.8809 4.8809 4.8809 Å, 90.00 90.00 90.00°
Last column: nearest neighbours and their distance in Å.
Sites, in units of the cell vectors:
1 Tc 0.0000 0.0000 0.0000  6 Se 2.44
2 Se 0.0000 0.5000 0.0000  2 Tc 2.44
3 Se 0.5000 0.0000 0.0000  2 Tc 2.44
4 Se 0.0000 0.0000 0.5000  2 Tc 2.44
5 Si 0.5000 0.5000 0.5000  12 Se 3.45



Short version: (A) is the least stable of them.



(A)
Compound: SiTc2Se
Source: the Alexandria database
Functional: PBE
Structure: optimized geometry

Summary:
- space-group type = I-4m2, No. 119
- total magnetic moment (μB/atom) = 0.000
- crystal system = tetragonal
- theoretical density (g cm⁻³) = 8.438

Cell: 4.7300 4.7300 4.7300 Å, 130.59 130.59 72.46°
Last column: nearest neighbours and their distance in Å.
Sites, in units of the cell vectors:
1 Se 0.5000 0.5000 0.0000  4 Si 2.75, 8 Tc 2.75-2.80
2 Si 0.7500 0.2500 0.5000  4 Se 2.75, 8 Tc 2.75-2.80
3 Tc 0.2500 0.7500 0.5000  4 Tc 2.75, 4 Se 2.75, 4 Si 2.80
4 Tc 0.0000 0.0000 0.0000  4 Tc 2.75, 4 Si 2.75, 4 Se 2.80



(B)
Compound: SiTc2Se
Source: the Alexandria database
Functional: PBE
Structure: optimized geometry

Summary:
- space-group type = Cmm2, No. 35
- total magnetic moment (μB/atom) = 0.000
- crystal system = orthorhombic
- theoretical density (g cm⁻³) = 7.523

Cell: 2.7858 2.7858 9.5572 Å, 90.00 90.00 115.60°
Last column: nearest neighbours and their distance in Å.
Sites, in units of the cell vectors:
1 Tc 0.5000 0.5000 0.2389  2 Se 2.56, 6 Tc 2.66-2.79
2 Tc 0.0000 0.0000 0.0079  2 Si 2.51, 6 Tc 2.66-2.79
3 Se 0.0000 0.0000 0.4576  2 Tc 2.56, 4 Se 2.79
4 Si 0.5000 0.5000 0.7956  2 Tc 2.51, 4 Si 2.79



Short version: (B) is the least stable of them.